## YMg2W (GGA-PBE)

Data for crystalline YMg2W at its relaxed geometry.

## Properties
M_tot: 0.000 μB per formula unit
Space-group type: No. 65
E_form: 0.50 eV/atom

Cell lengths 5.502, 5.502, 3.012 Å; angles 90.00, 90.00, 113.44 degrees
Atoms (fractional coordinates):
Mg1 0.000 0.000 0.000
Mg2 0.500 0.500 0.000
W1 0.500 0.000 0.500
Y1 0.000 0.500 0.500

## CeThIrPt (GGA-PBE)

Data for crystalline CeThIrPt at its relaxed geometry.

## Properties
M_tot: 0.811 μB per formula unit
Space-group type: No. 216
E_form: -0.84 eV/atom

Cell lengths 5.046, 5.046, 5.046 Å; angles 60.00, 60.00, 60.00 degrees
Each line ends with the local moment (μB).
Atoms (fractional coordinates):
Ir1 0.250 0.250 0.250  -0.02
Pt1 0.750 0.750 0.750  0.01
Th1 0.000 0.000 0.000  0.08
Ce1 0.500 0.500 0.500  0.57

## CoRe2As (GGA-PBE)

Data for crystalline CoRe2As at its relaxed geometry.

## Properties
M_tot: 0.800 μB per formula unit
Space-group type: No. 10
E_form: 0.36 eV/atom

Cell lengths 3.955, 2.775, 5.450 Å; angles 72.33, 90.00, 90.00 degrees
Each line ends with the local moment (μB).
Atoms (fractional coordinates):
As1 0.500 0.250 0.250  0.00
Co1 0.500 0.750 0.750  0.77
Re1 0.000 0.137 0.992  0.03
Re2 0.000 0.363 0.508  0.03

## Mg2SiH2 (GGA-PBE)

Data for crystalline Mg2SiH2 at its relaxed geometry.

## Properties
VASP energy: -3.09 eV/atom
M_tot: 0.000 μB per formula unit
Space-group type: No. 139

Cell lengths 3.169, 3.169, 6.514 Å; angles 75.92, 75.92, 90.00 degrees
Atoms (fractional coordinates):
H1 0.750 0.250 0.500
H2 0.250 0.750 0.500
Si1 0.000 0.000 0.000
Mg1 0.345 0.345 0.310
Mg2 0.655 0.655 0.690

## KNa2HAu (GGA-PBE)

Data for crystalline KNa2HAu at its relaxed geometry.

## Properties
VASP energy: -2.20 eV/atom
M_tot: 0.000 μB per formula unit
Space-group type: No. 123

Cell lengths 4.734, 4.734, 5.300 Å; angles 90.00, 90.00, 90.00 degrees
Atoms (fractional coordinates):
Na1 0.000 0.500 0.000
Na2 0.500 0.000 0.000
K1 0.000 0.000 0.500
Au1 0.500 0.500 0.500
H1 0.000 0.000 0.000

## KBa6Sr2 (GGA-PBE)

Data for crystalline KBa6Sr2 at its relaxed geometry.

## Properties
M_tot: 0.000 μB per formula unit
Space-group type: No. 187
E_form: 0.05 eV/atom

Cell lengths 4.395, 4.395, 33.725 Å; angles 90.00, 90.00, 120.00 degrees
Atoms (fractional coordinates):
K1 0.333 0.667 0.000
Ba1 0.667 0.333 0.884
Ba2 0.333 0.667 0.439
Ba3 0.333 0.667 0.775
Ba4 0.333 0.667 0.225
Ba5 0.333 0.667 0.561
Ba6 0.667 0.333 0.116
Sr1 0.667 0.333 0.332
Sr2 0.667 0.333 0.668

Please write out number 1 again, unchanged.
## YMg2W (GGA-PBE)

Data for crystalline YMg2W at its relaxed geometry.

## Properties
M_tot: 0.000 μB per formula unit
Space-group type: No. 65
E_form: 0.50 eV/atom

Cell lengths 5.502, 5.502, 3.012 Å; angles 90.00, 90.00, 113.44 degrees
Atoms (fractional coordinates):
Mg1 0.000 0.000 0.000
Mg2 0.500 0.500 0.000
W1 0.500 0.000 0.500
Y1 0.000 0.500 0.500

> What is the M_tot in the third record?

0.800 μB per formula unit